RbCr2ClO | PBE with a Hubbard U | relaxed

a = 4.7459 Å, b = 6.4845 Å, c = 4.7459 Å
α = 90.00°, β = 90.00°, γ = 90.00°
Last column: nearest neighbours and their distance in Å.
Sites, in units of the cell vectors:
Cl  0.0000  0.0000  0.0000  4 Cr 2.37
Cr  0.5000  0.0000  0.0000  2 Cl 2.37
Cr  0.0000  0.0000  0.5000  2 Cl 2.37
Rb  0.5000  0.5000  0.5000  4 O 3.36
O  0.0000  0.5000  0.0000  2 Cl 3.24, 4 Rb 3.36

Results
- Symmetry: P4/mmm, No. 123
- E_tot: -21.70 eV/f.u.
- Magnetization: 8.38 μB per cell